The following is a DFT calculation (PBE+U) of a relaxed VCu2HgO6 crystal.

Cell and atoms, written as POSCAR:
```
VCu2HgO6
1.0
-2.445 1.610 5.281
3.418 -4.165 5.430
1.753 7.357 1.148
Cu O Hg V
4 12 2 2
direct
0.329 0.699 0.552
0.671 0.301 0.448
0.171 0.448 0.301
0.829 0.552 0.699
0.511 0.166 0.624
0.981 0.326 0.436
0.489 0.834 0.376
0.019 0.674 0.564
0.842 0.026 0.223
0.519 0.564 0.674
0.989 0.376 0.834
0.481 0.436 0.326
0.658 0.777 0.974
0.011 0.624 0.166
0.158 0.974 0.777
0.342 0.223 0.026
0.250 0.905 0.095
0.750 0.095 0.905
0.750 0.806 0.194
0.250 0.194 0.806
```

Summary:
Uncorrected energy = -5.353 eV/atom
Calculated volume = 289.74 Å³ per cell
Symmetry = C2/c
Size of the total moment = 2.02 μB/cell